Compound: LaHo6Er4
Source: Alexandria via LeMat-Bulk
Functional: PBE-GGA
Structure: optimized geometry

Properties
E_tot (eV per atom): -4.164
Symmetry: I-42m (121)
ΔE_f (meV per atom): 440

Cell and atoms, written as POSCAR:
```
LaHo6Er4
1.0
-3.8380 3.8380 6.4432
3.8380 -3.8380 6.4432
3.8380 3.8380 -6.4432
La Ho Er
1 6 4
Direct
0.0000 0.0000 0.0000
0.0000 0.5000 0.5000
0.0641 0.5608 0.0000
0.4392 0.4392 0.5033
0.5000 0.0000 0.5000
0.5608 0.0641 0.0000
0.9359 0.9359 0.4967
0.2619 0.2619 0.6753
0.4134 0.7381 0.0000
0.5866 0.5866 0.3247
0.7381 0.4134 0.0000
```

***

Compound: La2Ho3Er
Source: Alexandria via LeMat-Bulk
Functional: PBE-GGA
Structure: optimized geometry

Properties
E_tot (eV per atom): -4.596
Symmetry: C2/m (12)
ΔE_f (meV per atom): 96
Polymorph energy (0 for the lowest one) (eV/atom): 0.065

Cell and atoms, written as POSCAR:
```
La2Ho3Er
1.0
8.5485 -2.7948 0.0000
8.5485 2.7948 0.0000
-5.8491 0.0000 8.3865
La Ho Er
4 6 2
Direct
0.0117 0.0117 0.3662
0.2739 0.2739 0.6338
0.7261 0.7261 0.3662
0.9883 0.9883 0.6338
0.1114 0.1114 0.1513
0.2047 0.2047 0.9220
0.4486 0.4486 0.1003
0.5514 0.5514 0.8997
0.7953 0.7953 0.0780
0.8886 0.8886 0.8487
0.3641 0.3641 0.3511
0.6359 0.6359 0.6489
```

***

Compound: LaHo3Er7
Source: Alexandria via LeMat-Bulk
Functional: PBE-GGA
Structure: optimized geometry

Properties
E_tot (eV per atom): -4.448
Symmetry: P2/m (10)
ΔE_f (meV per atom): 152
Polymorph energy (0 for the lowest one) (eV/atom): 0.000

Cell and atoms, written as POSCAR:
```
LaHo3Er7
1.0
6.8990 0.0000 0.0000
0.0000 5.5130 0.0000
-3.1673 0.0000 9.3002
La Ho Er
1 3 7
Direct
0.0000 0.0000 0.0000
0.2751 0.5000 0.4934
0.5000 0.0000 0.0000
0.7249 0.5000 0.5066
0.0000 0.0000 0.5000
0.1491 0.5000 0.7890
0.3263 0.5000 0.1425
0.4315 0.0000 0.3323
0.5685 0.0000 0.6677
0.6737 0.5000 0.8575
0.8509 0.5000 0.2110
```

***

Compound: La2Ho6Er
Source: Alexandria via LeMat-Bulk
Functional: PBE-GGA
Structure: optimized geometry

Properties
E_tot (eV per atom): -4.486
Symmetry: C2/c (15)
ΔE_f (meV per atom): 168
Polymorph energy (0 for the lowest one) (eV/atom): 0.000

Cell and atoms, written as POSCAR:
```
La2Ho6Er
1.0
7.3112 -6.2412 0.0000
7.3112 6.2412 0.0000
-1.5936 0.0000 6.4846
La Ho Er
4 12 2
Direct
0.1948 0.1998 0.3949
0.1998 0.1948 0.8949
0.8002 0.8052 0.1051
0.8052 0.8002 0.6051
0.0558 0.5300 0.2617
0.1293 0.8301 0.9870
0.1699 0.8707 0.5130
0.2793 0.5056 0.7116
0.4700 0.9442 0.2383
0.4944 0.7207 0.7884
0.5056 0.2793 0.2116
0.5300 0.0558 0.7617
0.7207 0.4944 0.2884
0.8301 0.1293 0.4870
0.8707 0.1699 0.0130
0.9442 0.4700 0.7383
0.3780 0.6220 0.2500
0.6220 0.3780 0.7500
```

***

Compound: La12Ho2Er5
Source: Alexandria via LeMat-Bulk
Functional: PBE-GGA
Structure: optimized geometry

Properties
E_tot (eV per atom): -4.694
Symmetry: C2/m (12)
ΔE_f (meV per atom): 100
Polymorph energy (0 for the lowest one) (eV/atom): 0.000

Cell and atoms, written as POSCAR:
```
La12Ho2Er5
1.0
6.6556 -5.8733 0.0000
6.6556 5.8733 0.0000
-4.4234 0.0000 8.4879
La Ho Er
12 2 5
Direct
0.0201 0.5476 0.6836
0.0599 0.0599 0.2800
0.1381 0.6551 0.0951
0.3449 0.8619 0.9049
0.4052 0.4052 0.5824
0.4524 0.9799 0.3164
0.5476 0.0201 0.6836
0.5948 0.5948 0.4176
0.6551 0.1381 0.0951
0.8619 0.3449 0.9049
0.9401 0.9401 0.7200
0.9799 0.4524 0.3164
0.2150 0.7850 0.5000
0.7850 0.2150 0.5000
0.1966 0.1966 0.7298
0.2794 0.2794 0.1353
0.5000 0.5000 0.0000
0.7206 0.7206 0.8647
0.8034 0.8034 0.2702
```

***

Compound: La4Ho3Er2
Source: Alexandria via LeMat-Bulk
Functional: PBE-GGA
Structure: optimized geometry

Properties
E_tot (eV per atom): -4.646
Symmetry: C2/m (12)
ΔE_f (meV per atom): 83
Polymorph energy (0 for the lowest one) (eV/atom): 0.050

Cell and atoms, written as POSCAR:
```
La4Ho3Er2
1.0
6.5015 -1.8360 0.0000
6.5015 1.8360 0.0000
-6.4220 0.0000 13.0138
La Ho Er
4 3 2
Direct
0.2192 0.2192 0.1066
0.2745 0.2745 0.6278
0.7255 0.7255 0.3722
0.7808 0.7808 0.8934
0.4940 0.4940 0.1122
0.5000 0.5000 0.5000
0.5060 0.5060 0.8878
0.0438 0.0438 0.7083
0.9562 0.9562 0.2917
```

***

Compound: La2Ho6Er
Source: Alexandria via LeMat-Bulk
Functional: PBE-GGA
Structure: optimized geometry

Properties
E_tot (eV per atom): -4.411
Symmetry: C2/m (12)
ΔE_f (meV per atom): 243
Polymorph energy (0 for the lowest one) (eV/atom): 0.075

Cell and atoms, written as POSCAR:
```
La2Ho6Er
1.0
6.6212 -3.8267 0.0000
6.6212 3.8267 0.0000
-0.0067 0.0000 5.9611
La Ho Er
2 6 1
Direct
0.1668 0.1668 0.2862
0.8332 0.8332 0.7138
0.1238 0.6883 0.2063
0.3120 0.3120 0.7941
0.3117 0.8762 0.7937
0.6883 0.1238 0.2063
0.6880 0.6880 0.2059
0.8762 0.3117 0.7937
0.5000 0.5000 0.5000
```

***

Compound: La2Ho5Er4
Source: Alexandria via LeMat-Bulk
Functional: PBE-GGA
Structure: optimized geometry

Properties
E_tot (eV per atom): -4.458
Symmetry: C2/m (12)
ΔE_f (meV per atom): 178
Polymorph energy (0 for the lowest one) (eV/atom): 0.105

Cell and atoms, written as POSCAR:
```
La2Ho5Er4
1.0
12.2826 -1.7498 0.0000
12.2826 1.7498 0.0000
-2.9366 0.0000 8.4557
La Ho Er
2 5 4
Direct
0.2354 0.2354 0.2919
0.7646 0.7646 0.7081
0.0000 0.0000 0.5000
0.3371 0.3371 0.1011
0.3764 0.3764 0.5273
0.6236 0.6236 0.4727
0.6629 0.6629 0.8989
0.0966 0.0966 0.1265
0.4880 0.4880 0.1781
0.5120 0.5120 0.8219
0.9034 0.9034 0.8735
```